1.
A plane-wave DFT calculation with SCAN was carried out for a crystal of Be2As relaxed with PBEsol.

E above lowest polymorph   0 meV per atom
Total energy   -0.6763 Ry/atom
Total moment   0.0 Bohr magnetons per cell
DFT formation energy   0.43 eV/atom
Density   3.96 g/cm³

Unit cell a=3.5370 b=3.5370 c=3.5979 alpha=90.00 beta=90.00 gamma=120.00
Space group P-3m1 (No. 164)
One atom of each set of equivalent atoms:
Be1 0.3333 0.6667 0.1996 [2 per cell]
As1 0.0000 0.0000 0.5000 [1 per cell]



2.
A plane-wave DFT calculation with SCAN was carried out for a crystal of BeAs relaxed with PBEsol.

E above lowest polymorph   97 meV per atom
Total energy   -0.8997 Ry/atom
Total moment   0.0 Bohr magnetons per cell
DFT formation energy   0.03 eV/atom
Density   4.32 g/cm³

Unit cell a=3.3331 b=3.3331 c=6.7012 alpha=90.00 beta=90.00 gamma=120.00
Space group P6_3mc (No. 186)
One atom of each set of equivalent atoms:
Be1 0.3333 0.6667 0.0000 [2 per cell]
As1 0.3333 0.6667 0.3247 [2 per cell]



3.
A plane-wave DFT calculation with SCAN was carried out for a crystal of BeAs relaxed with PBEsol.

E above lowest polymorph   606 meV per atom
Total energy   -0.8623 Ry/atom
Total moment   0.0 Bohr magnetons per cell
DFT formation energy   0.54 eV/atom
Density   5.09 g/cm³

Unit cell a=3.0135 b=3.0135 c=3.0135 alpha=90.00 beta=90.00 gamma=90.00
Space group Pm-3m (No. 221)
One atom of each set of equivalent atoms:
Be1 0.0000 0.0000 0.0000 [1 per cell]
As1 0.5000 0.5000 0.5000 [1 per cell]



4.
A plane-wave DFT calculation with SCAN was carried out for a crystal of BeAs relaxed with PBEsol.

E above lowest polymorph   401 meV per atom
Total energy   -0.8774 Ry/atom
Total moment   0.0 Bohr magnetons per cell
DFT formation energy   0.33 eV/atom
Density   4.73 g/cm³

Unit cell a=3.5615 b=2.6985 c=6.1309 alpha=90.00 beta=90.00 gamma=90.00
Space group Pmma (No. 51)
One atom of each set of equivalent atoms:
Be1 0.2500 0.0000 0.1151 [2 per cell]
As1 0.2500 0.5000 0.7277 [2 per cell]